## LiPu4O12 (PBE)

Data for LiPu4O12 after structural relaxation.

Geometry as POSCAR:
```
LiPu4O12
1.0
-4.0039 4.0412 4.0452
4.0039 -4.0412 4.0452
4.0039 4.0412 -4.0452
Li Pu O
1 4 12
Direct
0.0000 0.0000 0.0000 Li
0.0000 0.0000 0.5000 Pu
0.0000 0.5000 0.0000 Pu
0.5000 0.0000 0.0000 Pu
0.5000 0.5000 0.5000 Pu
0.0036 0.1939 0.8097 O
0.2341 0.2987 0.5328 O
0.2341 0.7013 0.9354 O
0.2711 0.5672 0.2961 O
0.2711 0.9749 0.7039 O
0.3841 0.1939 0.1903 O
0.6159 0.8061 0.8097 O
0.7289 0.0251 0.2961 O
0.7289 0.4328 0.7039 O
0.7659 0.2987 0.0646 O
0.7659 0.7013 0.4672 O
0.9964 0.8061 0.1903 O
```

Computed properties:
The uncorrected formation energy comes out at -240.5 kJ/mol of atoms. Its calculated density is 7.45 g/cm3. As for the space group: Immm (71). The calculation puts the volume at 261.81 Å³ per cell. The value obtained for the final energy is -9.48 eV per atom.